# 1
# BeNiW

A relaxed structure of BeNiW (PBE-GGA, Alexandria via LeMat-Bulk).

Calculated values
As for the energy of formation: 0.006 eV per atom. The energy above the most stable polymorph in this dataset is 23.9 kJ/mol of atoms.

Geometry as POSCAR:
```
BeNiW
1.0
-0.023 6.869 0.618
-3.806 0.297 -3.448
-2.681 -0.273 2.936
Ni Be W
4 4 4
direct
0.333 0.250 0.000
0.833 0.250 0.500
0.667 0.750 0.000
0.167 0.750 0.500
0.833 0.750 0.500
0.667 0.250 0.000
0.333 0.750 0.000
0.167 0.250 0.500
0.000 0.500 0.000
0.500 0.000 0.500
0.000 0.000 0.000
0.500 0.500 0.500
```



# 2
# AcZnNiH6

A relaxed structure of AcZnNiH6 (PBE-GGA, Alexandria via LeMat-Bulk).

Calculated values
The value obtained for the electronic total energy is -33.13 eV for the cell shown.

Geometry as POSCAR:
```
AcZnNiH6
1.0
4.585 0.000 0.000
2.292 3.970 0.000
0.000 0.000 4.671
H Ni Ac Zn
6 1 1 1
direct
0.023 0.488 0.750
0.488 0.024 0.750
0.488 0.488 0.750
0.488 0.024 0.250
0.023 0.488 0.250
0.488 0.488 0.250
0.333 0.333 0.500
0.000 0.000 0.000
0.667 0.667 0.500
```



# 3
# SrSi2Ag2

A relaxed structure of SrSi2Ag2 (PBE-GGA, Alexandria via LeMat-Bulk).

Calculated values
The energy above the most stable polymorph in this dataset is 20.8 kJ/mol of atoms. The uncorrected formation energy comes out at -0.07 eV/atom.

Geometry as POSCAR:
```
SrSi2Ag2
1.0
-2.979 -0.578 3.313
3.358 -0.748 2.889
0.405 4.586 4.210
Si Ag Sr
2 2 1
direct
0.750 0.250 0.500
0.250 0.750 0.500
0.369 0.369 0.262
0.631 0.631 0.738
0.000 0.000 0.000
```



# 4
# Tb2HoEr5Sc

A relaxed structure of Tb2HoEr5Sc (PBE-GGA, Alexandria via LeMat-Bulk).

Calculated values
As for the energy of formation: 0.165 eV per atom.

Geometry as POSCAR:
```
Tb2HoEr5Sc
1.0
-4.994 1.756 1.454
-1.593 -7.357 -6.954
-0.287 -7.029 7.502
Tb Ho Er Sc
4 2 10 2
direct
0.888 0.777 0.814
0.114 0.228 0.736
0.112 0.223 0.314
0.886 0.772 0.236
0.591 0.181 0.956
0.409 0.819 0.456
0.983 0.965 0.518
0.377 0.755 0.021
0.724 0.449 0.820
0.276 0.551 0.320
0.017 0.035 0.018
0.518 0.037 0.240
0.623 0.245 0.521
0.300 0.600 0.705
0.700 0.400 0.205
0.482 0.963 0.740
0.804 0.608 0.515
0.196 0.392 0.015
```



# 5
# Sm5Tl4

A relaxed structure of Sm5Tl4 (PBE-GGA, Alexandria via LeMat-Bulk).

Calculated values
As for the energy of formation: -0.352 eV per atom.

Geometry as POSCAR:
```
Sm5Tl4
1.0
-2.747 -4.814 -3.883
8.681 -3.652 -1.615
-5.161 -3.056 7.439
Tl Sm
8 10
direct
0.750 0.628 0.000
0.250 0.000 0.372
0.750 0.372 0.372
0.000 0.000 0.000
0.250 0.628 0.628
0.750 0.000 0.628
0.250 0.372 0.000
0.500 0.000 0.000
0.000 0.333 0.667
0.250 0.290 0.290
0.750 0.710 0.710
0.000 0.667 0.333
0.750 0.290 0.000
0.500 0.667 0.333
0.500 0.333 0.667
0.250 0.000 0.710
0.250 0.710 0.000
0.750 0.000 0.290
```



# 6
# Cs3Dy3RhO8

A relaxed structure of Cs3Dy3RhO8 (PBE-GGA, Alexandria via LeMat-Bulk).

Calculated values
The uncorrected formation energy comes out at -2.24 eV/atom.

Geometry as POSCAR:
```
Cs3Dy3RhO8
1.0
-5.228 -2.062 -3.966
1.706 -3.617 5.597
-3.759 6.892 1.370
O Cs Dy Rh
8 3 3 1
direct
0.720 0.440 0.660
0.257 0.051 0.345
0.794 0.588 0.345
0.206 0.949 0.655
0.206 0.412 0.655
0.743 0.949 0.655
0.280 0.560 0.340
0.794 0.051 0.345
0.000 0.500 0.000
0.000 0.000 0.000
0.500 0.500 0.000
0.000 0.500 0.500
0.500 0.000 0.500
0.500 0.500 0.500
0.000 0.000 0.500
```



# 7
# BrO2F

A relaxed structure of BrO2F (PBE-GGA, Alexandria via LeMat-Bulk).

Calculated values
The uncorrected formation energy comes out at 0.96 eV/atom.

Geometry as POSCAR:
```
BrO2F
1.0
0.000 2.696 2.696
2.696 0.000 2.696
2.696 2.696 0.000
Br F O
1 1 2
direct
0.500 0.500 0.500
0.000 0.000 0.000
0.250 0.250 0.250
0.750 0.750 0.750
```



# 8
# K3PaBi2Te6

A relaxed structure of K3PaBi2Te6 (PBE-GGA, Alexandria via LeMat-Bulk).

Calculated values
The uncorrected formation energy comes out at -0.70 eV/atom.

Geometry as POSCAR:
```
K3PaBi2Te6
1.0
8.055 -0.002 0.002
-4.027 6.975 0.002
-1.342 -2.323 8.160
Te K Bi Pa
6 3 2 1
direct
0.744 0.744 0.211
0.604 0.930 0.790
0.070 0.396 0.210
0.930 0.604 0.790
0.396 0.070 0.210
0.256 0.256 0.789
0.500 0.500 0.500
0.829 0.171 0.500
0.171 0.829 0.500
0.666 0.334 0.000
0.334 0.666 0.000
0.000 0.000 0.000
```



# 9
# NaSn3Au

A relaxed structure of NaSn3Au (PBE-GGA, Alexandria via LeMat-Bulk).

Calculated values
As for the energy of formation: -0.148 eV per atom. The energy above the most stable polymorph in this dataset is 3.7 kJ/mol of atoms.

Geometry as POSCAR:
```
NaSn3Au
1.0
-3.513 -0.301 2.933
-1.794 -3.458 -2.504
3.235 -12.236 6.205
Sn Na Au
6 2 2
direct
0.030 0.809 0.940
0.970 0.191 0.060
0.193 0.621 0.613
0.694 0.105 0.611
0.306 0.895 0.389
0.807 0.379 0.387
0.586 0.412 0.828
0.414 0.588 0.172
0.131 0.004 0.738
0.869 0.996 0.262
```



# 10
# TaSb2Os

A relaxed structure of TaSb2Os (PBE-GGA, Alexandria via LeMat-Bulk).

Calculated values
The energy above the most stable polymorph in this dataset is 46.4 kJ/mol of atoms. The uncorrected formation energy comes out at 0.51 eV/atom.

Geometry as POSCAR:
```
TaSb2Os
1.0
-2.649 4.400 0.418
-2.953 -0.368 4.207
5.048 -0.823 -0.631
Sb Ta Os
2 1 1
direct
0.250 0.750 0.500
0.000 0.000 0.000
0.500 0.500 0.000
0.750 0.250 0.500
```



# 11
# Zr12Nb5Rh3

A relaxed structure of Zr12Nb5Rh3 (PBE-GGA, Alexandria via LeMat-Bulk).

Calculated values
As for the energy of formation: 0.947 eV per atom.

Geometry as POSCAR:
```
Zr12Nb5Rh3
1.0
-1.522 12.753 -4.663
-10.597 -3.219 8.003
11.577 -0.863 7.206
Rh Nb Zr
12 20 48
direct
0.375 0.750 0.625
0.875 0.125 0.250
0.625 0.375 0.750
0.375 0.625 0.250
0.750 0.375 0.125
0.125 0.875 0.750
0.625 0.250 0.375
0.250 0.625 0.875
0.250 0.125 0.375
0.875 0.750 0.125
0.125 0.250 0.875
0.750 0.875 0.625
0.875 0.250 0.625
0.000 0.000 0.000
0.750 0.125 0.875
0.500 0.500 0.500
0.875 0.625 0.750
0.750 0.625 0.375
0.500 0.000 0.500
0.375 0.125 0.750
0.375 0.250 0.125
0.625 0.875 0.250
0.500 0.500 0.000
0.000 0.500 0.000
0.000 0.000 0.500
0.000 0.500 0.500
0.250 0.875 0.125
0.500 0.000 0.000
0.125 0.750 0.375
0.125 0.375 0.250
0.625 0.750 0.875
0.250 0.375 0.625
0.598 0.870 0.431
0.834 0.902 0.273
0.069 0.902 0.130
0.439 0.773 0.870
0.061 0.630 0.727
0.598 0.727 0.666
0.902 0.834 0.773
0.370 0.939 0.773
0.273 0.402 0.834
0.931 0.098 0.870
0.727 0.130 0.061
0.061 0.431 0.834
0.569 0.630 0.402
0.666 0.439 0.569
0.561 0.334 0.931
0.902 0.069 0.630
0.431 0.370 0.598
0.666 0.227 0.598
0.939 0.569 0.166
0.630 0.061 0.227
0.370 0.431 0.098
0.727 0.598 0.166
0.334 0.561 0.431
0.834 0.931 0.061
0.939 0.370 0.273
0.870 0.598 0.931
0.561 0.227 0.130
0.402 0.130 0.569
0.773 0.439 0.370
0.227 0.666 0.098
0.273 0.870 0.939
0.166 0.098 0.727
0.334 0.773 0.402
0.431 0.061 0.334
0.402 0.273 0.334
0.773 0.334 0.902
0.069 0.166 0.439
0.166 0.069 0.939
0.227 0.561 0.630
0.098 0.931 0.370
0.931 0.834 0.561
0.098 0.166 0.227
0.569 0.939 0.666
0.870 0.273 0.439
0.439 0.666 0.069
0.630 0.569 0.902
0.130 0.402 0.069
0.130 0.727 0.561
```



# 12
# SrHoTlI6

A relaxed structure of SrHoTlI6 (PBE-GGA, Alexandria via LeMat-Bulk).

Calculated values
The uncorrected formation energy comes out at -1.33 eV/atom.

Geometry as POSCAR:
```
SrHoTlI6
1.0
8.188 0.000 0.000
-4.094 7.091 0.000
0.000 0.000 14.987
Tl I Ho Sr
2 12 2 2
direct
0.000 0.000 0.000
0.000 0.000 0.500
0.625 0.650 0.631
0.375 0.024 0.131
0.024 0.650 0.869
0.650 0.625 0.131
0.976 0.625 0.369
0.350 0.375 0.869
0.625 0.976 0.869
0.024 0.375 0.631
0.350 0.976 0.631
0.976 0.350 0.131
0.375 0.350 0.369
0.650 0.024 0.369
0.333 0.667 0.750
0.667 0.333 0.250
0.667 0.333 0.750
0.333 0.667 0.250
```